[1]
## Cu2Mo (GGA-PBE)

Data for a relaxed structure of Cu2Mo.

Structure (POSCAR):
```
Cu2Mo
1.0
-4.007 -0.428 0.609
-2.208 3.158 1.327
-2.648 1.830 -2.501
Cu Mo
2 1
Direct
0.250 0.250 0.250
0.750 0.750 0.750
0.000 0.000 0.000
```

## Properties
Size of the total moment, μB per formula unit: 0.00
Formation energy, kcal/mol of atoms: 23.77
Space group: No. 225

***

[2]
## K2Fe3Ge2S8 (GGA-PBE)

Data for a relaxed structure of K2Fe3Ge2S8.

Structure (POSCAR):
```
K2Fe3Ge2S8
1.0
-3.304 3.544 -3.941
-5.294 -1.324 3.038
1.713 7.120 5.453
Fe Ge K S
3 2 2 8
Direct
0.901 0.099 0.000
0.431 0.569 0.000
0.432 0.568 0.500
0.429 0.099 0.239
0.901 0.571 0.761
0.926 0.640 0.272
0.360 0.074 0.728
0.251 0.233 0.041
0.771 0.180 0.224
0.396 0.735 0.242
0.274 0.258 0.432
0.742 0.726 0.568
0.265 0.604 0.758
0.820 0.229 0.776
0.767 0.749 0.959
```

## Properties
Size of the total moment, μB per formula unit: 12.00
Energy, eV/cell: -76.2
Space group: No. 5

***

[3]
## Y3FeS6 (GGA-PBE)

Data for a relaxed structure of Y3FeS6.

Structure (POSCAR):
```
Y3FeS6
1.0
-4.030 1.226 -5.195
0.150 -3.993 -5.364
-8.454 -6.931 4.926
Fe S Y
2 12 6
Direct
0.333 0.333 0.250
0.667 0.667 0.750
0.314 0.046 0.130
0.046 0.640 0.130
0.640 0.315 0.131
0.640 0.046 0.369
0.046 0.314 0.369
0.314 0.640 0.370
0.360 0.686 0.630
0.686 0.954 0.631
0.954 0.360 0.631
0.685 0.360 0.869
0.360 0.954 0.870
0.954 0.686 0.870
0.000 0.000 0.000
0.666 0.667 0.028
0.667 0.666 0.472
0.000 0.000 0.500
0.334 0.333 0.528
0.333 0.334 0.972
```

## Properties
Size of the total moment, μB per formula unit: 3.86
Energy, eV/cell: -132.9
Space group: No. 182

***

[4]
## PaNbMo (GGA-PBE)

Data for a relaxed structure of PaNbMo.

Structure (POSCAR):
```
PaNbMo
1.0
0.000 3.188 3.188
3.188 0.000 3.188
3.188 3.188 0.000
Mo Nb Pa
1 1 1
Direct
0.250 0.250 0.250
0.750 0.750 0.750
0.000 0.000 0.000
```

## Properties
Size of the total moment, μB per formula unit: 0.02
Energy above the lowest structure with this stoichiometry, eV/atom: 0.560
Formation energy, kcal/mol of atoms: 23.33
Space group: No. 216

***

[5]
## Dy2TmCd5 (GGA-PBE)

Data for a relaxed structure of Dy2TmCd5.

Structure (POSCAR):
```
Dy2TmCd5
1.0
-2.358 -3.050 -3.297
-5.580 1.216 2.865
-2.770 5.077 -2.715
Cd Dy Tm
5 2 1
Direct
0.000 0.630 0.150
0.500 0.856 0.362
0.000 0.150 0.630
0.500 0.362 0.856
0.500 0.868 0.868
0.500 0.360 0.360
0.000 0.654 0.654
0.000 0.118 0.118
```

## Properties
Size of the total moment, μB per formula unit: 0.00
Formation energy, kcal/mol of atoms: -6.71
Space group: No. 38

***

[6]
## NbTl2InCl6 (GGA-PBE)

Data for a relaxed structure of NbTl2InCl6.

Structure (POSCAR):
```
NbTl2InCl6
1.0
-3.719 3.719 5.559
3.719 -3.719 5.559
3.719 3.719 -5.559
Cl In Nb Tl
6 1 1 2
Direct
0.226 0.226 0.000
0.774 0.774 0.000
0.304 0.861 0.165
0.139 0.304 0.443
0.861 0.696 0.557
0.696 0.139 0.835
0.500 0.500 0.000
0.000 0.000 0.000
0.750 0.250 0.500
0.250 0.750 0.500
```

## Properties
Size of the total moment, μB per formula unit: 2.00
Energy, eV/cell: -38.7
Space group: No. 87

***

[7]
## Li2Pr2Ge3 (GGA-PBE)

Data for a relaxed structure of Li2Pr2Ge3.

Structure (POSCAR):
```
Li2Pr2Ge3
1.0
-4.722 4.515 7.159
1.648 -2.087 -9.320
-4.478 -5.316 0.398
Ge Li Pr
6 4 4
Direct
0.062 0.938 0.068
0.280 0.720 0.250
0.062 0.938 0.432
0.938 0.062 0.568
0.720 0.280 0.750
0.938 0.062 0.932
0.810 0.190 0.062
0.810 0.190 0.438
0.190 0.810 0.562
0.190 0.810 0.938
0.659 0.341 0.250
0.448 0.552 0.250
0.552 0.448 0.750
0.341 0.659 0.750
```

## Properties
Size of the total moment, μB per formula unit: 0.00
Energy, eV/cell: -64.3
Space group: No. 63

***

[8]
## Sr2AgAuN2 (GGA-PBE)

Data for a relaxed structure of Sr2AgAuN2.

Structure (POSCAR):
```
Sr2AgAuN2
1.0
-0.549 2.561 3.070
2.660 -3.016 0.339
5.677 4.683 -2.891
Ag Au N Sr
1 1 2 2
Direct
0.333 0.667 0.000
0.000 0.000 0.500
0.000 0.000 0.000
0.333 0.667 0.500
0.667 0.333 0.248
0.667 0.333 0.752
```

## Properties
Energy, eV/cell: -25.6
Space group: No. 187